Here is BeCuMo2W after structural relaxation from the Alexandria database. Energies are from GGA-PBEsol.

It has space group P4/mmm (No. 123), with a = 4.251 Å, b = 4.251 Å, c = 3.754 Å, α = 90.00°, β = 90.00° and γ = 90.00°. The distinct sites, in fractional coordinates, are Be at (0.000, 0.000, 0.000), Cu at (0.000, 0.000, 0.500), Mo at (0.000, 0.500, 0.000) and W at (0.500, 0.500, 0.500).

Its energy of formation from the pure elements is 658 meV/atom. The calculation puts the density of states at the Fermi level at 2.14 states/eV per cell. The calculation puts the spin magnetization at 0.000 μB per formula unit.



Here is CoSi4Ni3 after structural relaxation from the Alexandria database. Energies are from GGA-PBEsol.

It has space group Pm (No. 6), with a = 5.107 Å, b = 3.271 Å, c = 5.601 Å, α = 90.00°, β = 90.15° and γ = 90.00°. The distinct sites, in fractional coordinates, are Co at (0.000, 0.000, 0.000), Si at (0.183, 0.500, 0.225), Si at (0.325, 0.000, 0.732), Si at (0.697, 0.500, 0.896), Si at (0.831, 0.000, 0.387), Ni at (0.016, 0.500, 0.620), Ni at (0.499, 0.000, 0.122) and Ni at (0.515, 0.500, 0.500).

For the formation energy from raw total energies, the calculation gives -0.61 eV per atom. The calculation puts the density of states at the Fermi level at 2.25 states/eV per cell. The calculation puts the spin magnetization at 0.000 μB per formula unit.



Here is GePd after structural relaxation from the Alexandria database. Energies are from GGA-PBEsol.

It has space group Pnma (No. 62), with a = 5.745 Å, b = 3.534 Å, c = 6.219 Å, α = 90.00°, β = 90.00° and γ = 90.00°. The distinct sites, in fractional coordinates, are Ge at (0.184, 0.250, 0.079) and Pd at (0.005, 0.250, 0.689).

Its energy of formation from the pure elements is -508 meV/atom. The calculation puts the density of states at the Fermi level at 1.88 states/eV per cell. The calculation puts the spin magnetization at 0.000 μB per formula unit.



Here is Nb2CrSi2 after structural relaxation from the Alexandria database. Energies are from GGA-PBEsol.

It has space group P4/mbm (No. 127), with a = 6.378 Å, b = 6.378 Å, c = 3.564 Å, α = 90.00°, β = 90.00° and γ = 90.00°. The distinct sites, in fractional coordinates, are Nb at (0.171, 0.329, 0.000), Cr at (0.000, 0.000, 0.500) and Si at (0.133, 0.633, 0.500).

For the formation energy from raw total energies, the calculation gives -0.52 eV per atom. The calculation puts the density of states at the Fermi level at 7.23 states/eV per cell. The calculation puts the spin magnetization at 0.850 μB per formula unit.



Here is AlOsW2 after structural relaxation from the Alexandria database. Energies are from GGA-PBEsol.

It has space group Cmmm (No. 65), with a = 5.272 Å, b = 8.194 Å, c = 2.759 Å, α = 90.00°, β = 90.00° and γ = 90.00°. The distinct sites, in fractional coordinates, are Al at (0.000, 0.000, 0.000), Os at (0.000, 0.500, 0.000) and W at (0.250, 0.250, 0.500).

Its energy of formation from the pure elements is 99 meV/atom. The calculation puts the density of states at the Fermi level at 5.97 states/eV per cell. The calculation puts the spin magnetization at 0.000 μB per formula unit.



Here is Tb3Y after structural relaxation from the Alexandria database. Energies are from GGA-PBEsol.

It has space group Pm-3m (No. 221), with a = 4.936 Å, b = 4.936 Å, c = 4.936 Å, α = 90.00°, β = 90.00° and γ = 90.00°. The distinct sites, in fractional coordinates, are Tb at (0.000, 0.000, 0.500) and Y at (0.500, 0.500, 0.500).

Its energy of formation from the pure elements is 14 meV/atom. The calculation puts the density of states at the Fermi level at 5.07 states/eV per cell. The calculation puts the spin magnetization at 0.000 μB per formula unit.



Here is BeHF2 after structural relaxation from the Alexandria database. Energies are from GGA-PBEsol.

It has space group R-3m (No. 166, hexagonal axes), with a = 4.5312 Å, b = 4.5312 Å, c = 7.3160 Å, α = 90.00°, β = 90.00° and γ = 120.00°. The distinct sites, in fractional coordinates, are Be at (0.0000, 0.0000, 0.0000), H at (0.0000, 0.0000, 0.5000) and F at (0.0000, 0.0000, 0.1939).

The calculation puts the spin magnetization at 1.000 μB per formula unit. As for the polymorph energy (0 for the lowest one): 0 meV per atom.



Here is ScRe2Ag after structural relaxation from the Alexandria database. Energies are from GGA-PBEsol.

It has space group I4/mmm (No. 139), with a = 3.800 Å, b = 3.800 Å, c = 8.938 Å, α = 90.00°, β = 90.00° and γ = 90.00°. The distinct sites, in fractional coordinates, are Sc at (0.000, 0.000, 0.000), Re at (0.000, 0.500, 0.250) and Ag at (0.000, 0.000, 0.500).

Its energy of formation from the pure elements is 351 meV/atom. The calculation puts the density of states at the Fermi level at 6.58 states/eV per cell. The calculation puts the spin magnetization at 0.000 μB per formula unit. As for the polymorph energy (0 for the lowest one): 0 meV per atom.